# ScAsSe2N (meta-GGA SCAN, PBEsol geometry)
data_ScAsSe2N
_space_group_name_H-M_alt 'P 4/m m m'
_space_group_IT_number 123
_space_group_name_Hall '-P 4 2'
_cell_length_a 5.147
_cell_length_b 5.147
_cell_length_c 3.944
_cell_angle_alpha 90.00
_cell_angle_beta 90.00
_cell_angle_gamma 90.00
loop_
_atom_site_label
_atom_site_type_symbol
_atom_site_fract_x
_atom_site_fract_y
_atom_site_fract_z
_atom_site_occupancy
Sc1 Sc 0.000 0.000 0.000 1
As1 As 0.500 0.500 0.500 1
Se1 Se 0.000 0.500 0.000 1
N1 N 0.000 0.000 0.500 1
# Electronic total energy in eV per cell: -82.89
# Spin magnetization in μB/f.u.: 1.55
# Fermi-level density of states in states/eV/cell: 2.647
# E_form (uncorrected) in kJ/mol of formula units: 95